## P
DFT (GGA-PBE) results for a relaxed structure of CePmAs2. Values from VASP.

Summary:
- DOS at the Fermi energy: 1.2624 states/eV per atom

Quantum ESPRESSO input file:
```
&SYSTEM
  ibrav = 0, nat = 4, ntyp = 3
/
ATOMIC_SPECIES
Ce 140.12 Ce.upf
Pm 145.00 Pm.upf
As 74.92 As.upf
CELL_PARAMETERS angstrom
0.000 3.635 3.635
3.635 0.000 3.635
3.635 3.635 0.000
ATOMIC_POSITIONS crystal
Ce 0.000 0.000 0.000
Pm 0.500 0.500 0.500
As 0.250 0.250 0.250
As 0.750 0.750 0.750
```

=====

## Q
DFT (GGA-PBE) results for a relaxed structure of CePmAs2. Values from VASP.

Summary:
- DOS at the Fermi energy: 1.2308 states/eV per atom

Quantum ESPRESSO input file:
```
&SYSTEM
  ibrav = 0, nat = 8, ntyp = 3
/
ATOMIC_SPECIES
Ce 140.12 Ce.upf
Pm 145.00 Pm.upf
As 74.92 As.upf
CELL_PARAMETERS angstrom
4.212 0.000 0.000
-2.106 3.647 0.000
0.000 0.000 13.862
ATOMIC_POSITIONS crystal
Ce 0.000 0.000 0.000
Ce 0.000 0.000 0.500
Pm 0.333 0.667 0.250
Pm 0.667 0.333 0.750
As 0.333 0.667 0.621
As 0.333 0.667 0.879
As 0.667 0.333 0.121
As 0.667 0.333 0.379
```

=====

## R
DFT (GGA-PBE) results for a relaxed structure of CePmAs2. Values from VASP.

Summary:
- DOS at the Fermi energy: 1.5755 states/eV per atom

Quantum ESPRESSO input file:
```
&SYSTEM
  ibrav = 0, nat = 4, ntyp = 3
/
ATOMIC_SPECIES
Ce 140.12 Ce.upf
Pm 145.00 Pm.upf
As 74.92 As.upf
CELL_PARAMETERS angstrom
2.077 1.199 7.307
-2.077 1.199 7.307
0.000 -2.398 7.307
ATOMIC_POSITIONS crystal
Ce 0.000 0.000 0.000
Pm 0.172 0.172 0.172
As 0.585 0.585 0.585
As 0.753 0.753 0.753
```

=====

Stability verdict: Q, ahead by 122 meV per atom

=====

## P
DFT (GGA-PBE) results for a relaxed structure of Ce2PrAs. Values from VASP.

Summary:
- DOS at the Fermi energy: 2.5556 states/eV per atom

Quantum ESPRESSO input file:
```
&SYSTEM
  ibrav = 0, nat = 4, ntyp = 3
/
ATOMIC_SPECIES
Ce 140.12 Ce.upf
Pr 140.91 Pr.upf
As 74.92 As.upf
CELL_PARAMETERS angstrom
1.956 1.129 9.468
-1.956 1.129 9.468
0.000 -2.258 9.468
ATOMIC_POSITIONS crystal
Ce 0.000 0.000 0.000
Ce 0.205 0.205 0.205
Pr 0.436 0.436 0.436
As 0.602 0.602 0.602
```

=====

## Q
DFT (GGA-PBE) results for a relaxed structure of Ce2PrAs. Values from VASP.

Summary:
- DOS at the Fermi energy: 2.5253 states/eV per atom

Quantum ESPRESSO input file:
```
&SYSTEM
  ibrav = 0, nat = 4, ntyp = 3
/
ATOMIC_SPECIES
Ce 140.12 Ce.upf
Pr 140.91 Pr.upf
As 74.92 As.upf
CELL_PARAMETERS angstrom
1.922 1.110 10.127
-1.922 1.110 10.127
0.000 -2.220 10.127
ATOMIC_POSITIONS crystal
Ce 0.107 0.107 0.107
Ce 0.893 0.893 0.893
Pr 0.000 0.000 0.000
As 0.500 0.500 0.500
```

=====

Stability verdict: P, ahead by 159 meV per atom

=====

## P
DFT (GGA-PBE) results for a relaxed structure of CePrAs2. Values from VASP.

Summary:
- DOS at the Fermi energy: 1.3193 states/eV per atom

Quantum ESPRESSO input file:
```
&SYSTEM
  ibrav = 0, nat = 8, ntyp = 3
/
ATOMIC_SPECIES
Ce 140.12 Ce.upf
Pr 140.91 Pr.upf
As 74.92 As.upf
CELL_PARAMETERS angstrom
4.243 0.000 0.000
-2.121 3.674 0.000
0.000 0.000 13.990
ATOMIC_POSITIONS crystal
Ce 0.000 0.000 0.000
Ce 0.000 0.000 0.500
Pr 0.333 0.667 0.250
Pr 0.667 0.333 0.750
As 0.333 0.667 0.619
As 0.333 0.667 0.881
As 0.667 0.333 0.119
As 0.667 0.333 0.381
```

=====

## Q
DFT (GGA-PBE) results for a relaxed structure of CePrAs2. Values from VASP.

Summary:
- DOS at the Fermi energy: 1.7502 states/eV per atom

Quantum ESPRESSO input file:
```
&SYSTEM
  ibrav = 0, nat = 4, ntyp = 3
/
ATOMIC_SPECIES
Ce 140.12 Ce.upf
Pr 140.91 Pr.upf
As 74.92 As.upf
CELL_PARAMETERS angstrom
2.095 1.210 7.368
-2.095 1.210 7.368
0.000 -2.419 7.368
ATOMIC_POSITIONS crystal
Ce 0.000 0.000 0.000
Pr 0.172 0.172 0.172
As 0.586 0.586 0.586
As 0.751 0.751 0.751
```

=====

## R
DFT (GGA-PBE) results for a relaxed structure of CePrAs2. Values from VASP.

Summary:
- DOS at the Fermi energy: 1.3424 states/eV per atom

Quantum ESPRESSO input file:
```
&SYSTEM
  ibrav = 0, nat = 4, ntyp = 3
/
ATOMIC_SPECIES
Ce 140.12 Ce.upf
Pr 140.91 Pr.upf
As 74.92 As.upf
CELL_PARAMETERS angstrom
2.130 1.230 6.960
-2.130 1.230 6.960
0.000 -2.460 6.960
ATOMIC_POSITIONS crystal
Ce 0.000 0.000 0.000
Pr 0.500 0.500 0.500
As 0.253 0.253 0.253
As 0.747 0.747 0.747
```

=====

Stability verdict: R, ahead by 38 meV per atom

=====

## P
DFT (GGA-PBE) results for a relaxed structure of Ce2AsPt. Values from VASP.

Summary:
- DOS at the Fermi energy: 2.7800 states/eV per atom

Quantum ESPRESSO input file:
```
&SYSTEM
  ibrav = 0, nat = 4, ntyp = 3
/
ATOMIC_SPECIES
Ce 140.12 Ce.upf
As 74.92 As.upf
Pt 195.08 Pt.upf
CELL_PARAMETERS angstrom
2.021 1.167 7.359
-2.021 1.167 7.359
0.000 -2.334 7.359
ATOMIC_POSITIONS crystal
Ce 0.000 0.000 0.000
Ce 0.168 0.168 0.168
As 0.584 0.584 0.584
Pt 0.416 0.416 0.416
```

=====

## Q
DFT (GGA-PBE) results for a relaxed structure of Ce2AsPt. Values from VASP.

Summary:
- DOS at the Fermi energy: 2.8906 states/eV per atom

Quantum ESPRESSO input file:
```
&SYSTEM
  ibrav = 0, nat = 4, ntyp = 3
/
ATOMIC_SPECIES
Ce 140.12 Ce.upf
As 74.92 As.upf
Pt 195.08 Pt.upf
CELL_PARAMETERS angstrom
2.046 1.181 7.156
-2.046 1.181 7.156
0.000 -2.362 7.156
ATOMIC_POSITIONS crystal
Ce 0.248 0.248 0.248
Ce 0.752 0.752 0.752
As 0.000 0.000 0.000
Pt 0.500 0.500 0.500
```

=====

Stability verdict: Q, ahead by 71 meV per atom

=====

## P
DFT (GGA-PBE) results for a relaxed structure of CePu2As. Values from VASP.

Summary:
- DOS at the Fermi energy: 2.3956 states/eV per atom

Quantum ESPRESSO input file:
```
&SYSTEM
  ibrav = 0, nat = 4, ntyp = 3
/
ATOMIC_SPECIES
Ce 140.12 Ce.upf
Pu 244.00 Pu.upf
As 74.92 As.upf
CELL_PARAMETERS angstrom
4.517 0.000 0.000
0.000 4.517 0.000
0.000 0.000 4.536
ATOMIC_POSITIONS crystal
Ce 0.000 0.000 0.000
Pu 0.000 0.500 0.500
Pu 0.500 0.000 0.500
As 0.500 0.500 0.000
```

=====

## Q
DFT (GGA-PBE) results for a relaxed structure of CePu2As. Values from VASP.

Summary:
- DOS at the Fermi energy: 2.7149 states/eV per atom

Quantum ESPRESSO input file:
```
&SYSTEM
  ibrav = 0, nat = 4, ntyp = 3
/
ATOMIC_SPECIES
Ce 140.12 Ce.upf
Pu 244.00 Pu.upf
As 74.92 As.upf
CELL_PARAMETERS angstrom
1.872 1.081 9.030
-1.872 1.081 9.030
0.000 -2.161 9.030
ATOMIC_POSITIONS crystal
Ce 0.000 0.000 0.000
Pu 0.098 0.098 0.098
Pu 0.902 0.902 0.902
As 0.500 0.500 0.500
```

=====

Stability verdict: P, ahead by 326 meV per atom

=====

## P
DFT (GGA-PBE) results for a relaxed structure of Ce2PuAs. Values from VASP.

Summary:
- DOS at the Fermi energy: 2.0034 states/eV per atom

Quantum ESPRESSO input file:
```
&SYSTEM
  ibrav = 0, nat = 4, ntyp = 3
/
ATOMIC_SPECIES
Ce 140.12 Ce.upf
Pu 244.00 Pu.upf
As 74.92 As.upf
CELL_PARAMETERS angstrom
4.615 0.000 0.000
0.000 4.615 0.000
0.000 0.000 4.411
ATOMIC_POSITIONS crystal
Ce 0.000 0.500 0.000
Ce 0.500 0.000 0.000
Pu 0.000 0.000 0.500
As 0.500 0.500 0.500
```

=====

## Q
DFT (GGA-PBE) results for a relaxed structure of Ce2PuAs. Values from VASP.

Summary:
- DOS at the Fermi energy: 0.8714 states/eV per atom

Quantum ESPRESSO input file:
```
&SYSTEM
  ibrav = 0, nat = 4, ntyp = 3
/
ATOMIC_SPECIES
Ce 140.12 Ce.upf
Pu 244.00 Pu.upf
As 74.92 As.upf
CELL_PARAMETERS angstrom
1.832 1.058 7.208
-1.832 1.058 7.208
0.000 -2.115 7.208
ATOMIC_POSITIONS crystal
Ce 0.240 0.240 0.240
Ce 0.760 0.760 0.760
Pu 0.500 0.500 0.500
As 0.000 0.000 0.000
```

=====

Stability verdict: P, ahead by 341 meV per atom